Here is a relaxed TcTeSe2 crystal from Alexandria via LeMat-Bulk. Energies are from PBE-GGA.

Structure (POSCAR):
```
TcTeSe2
1.0
16.430 0.000 2.094
0.000 5.510 0.000
-5.202 0.000 3.395
Se Te Tc
8 4 4
Cartesian
11.310 4.541 4.604 Se
9.198 4.559 1.813 Se
12.846 1.804 3.025 Se
2.030 0.951 3.675 Se
5.696 3.724 1.860 Se
5.532 1.786 3.628 Se
-1.618 3.706 2.464 Se
-0.082 0.969 0.884 Se
9.165 1.885 3.165 Te
2.063 3.625 2.323 Te
12.878 4.639 1.673 Te
-1.650 0.870 3.815 Te
4.230 5.406 2.800 Tc
-3.817 2.651 3.339 Tc
6.998 0.104 2.689 Tc
15.045 2.858 2.149 Tc
```

Calculated values
VASP energy, eV/atom: -5.271
Space-group type: P2_1/c
Crystal system: monoclinic
Uncorrected formation energy, kJ/mol of formula units: -59
Theoretical density, g/cm³: 6.9

---

Here is a relaxed ZrPa2O6 crystal from Alexandria via LeMat-Bulk. Energies are from PBE-GGA.

Structure (POSCAR):
```
ZrPa2O6
1.0
-1.951 0.170 5.387
-4.511 -2.981 -1.540
4.491 -7.020 0.433
O Zr Pa
12 2 4
Cartesian
-2.075 -6.341 3.629 O
2.379 -5.421 1.209 O
0.108 -7.186 1.017 O
1.667 -6.719 3.662 O
-4.351 -4.409 3.071 O
-0.392 -8.502 3.755 O
0.368 -4.305 3.667 O
-1.580 -1.328 0.525 O
-2.080 -2.644 3.263 O
-2.340 -5.525 0.613 O
0.103 -3.489 0.651 O
-3.640 -3.111 0.619 O
2.245 -3.510 0.217 Zr
-3.231 -1.405 1.923 Zr
-1.726 -3.280 -0.634 Pa
-0.246 -6.550 4.914 Pa
-1.931 -7.679 1.773 Pa
-0.041 -2.151 2.507 Pa
```

Calculated values
VASP energy, eV/atom: -9.642
Space-group type: P2_1/c
Crystal system: monoclinic
Uncorrected formation energy, kJ/mol of formula units: -2846
Theoretical density, g/cm³: 8.1